1.
A relaxed structure of FeTc2P, computed with PBE.

Values from the calculation:
Total moment = 0.55 μB/atom
DFT formation energy = 2 meV per atom
Theoretical density = 9.045 g/cm3

Unit cell a=4.725 b=4.725 c=4.725 alpha=135.02 beta=135.02 gamma=65.51
Atoms (fractional coordinates):
Fe 0.000 0.000 0.000
Tc 0.500 0.500 0.000
Tc 0.750 0.250 0.500
P 0.250 0.750 0.500


2.
A relaxed structure of Fe2Tc2P, computed with PBE.

Values from the calculation:
Total moment = 0.37 μB/atom
DFT formation energy = 640 meV per atom
Theoretical density = 7.780 g/cm3

Unit cell a=5.932 b=5.932 c=5.932 alpha=143.84 beta=143.84 gamma=52.07
Atoms (fractional coordinates):
Fe 0.100 0.100 0.000
Fe 0.900 0.900 0.000
Tc 0.250 0.750 0.500
Tc 0.750 0.250 0.500
P 0.500 0.500 0.000


3.
A relaxed structure of FeTcP3, computed with PBE.

Values from the calculation:
Total moment = 0.00 μB/atom
DFT formation energy = 839 meV per atom
Theoretical density = 5.310 g/cm3
E above lowest polymorph = 0 meV per atom

Unit cell a=4.257 b=4.257 c=4.257 alpha=90.00 beta=90.00 gamma=90.00
Atoms (fractional coordinates):
Fe 0.000 0.000 0.000
Tc 0.500 0.500 0.500
P 0.000 0.000 0.500
P 0.000 0.500 0.000
P 0.500 0.000 0.000


4.
A relaxed structure of FeTc2P, computed with PBE.

Values from the calculation:
Total moment = 0.65 μB/atom
DFT formation energy = 144 meV per atom
Theoretical density = 8.997 g/cm3

Unit cell a=4.195 b=4.195 c=4.195 alpha=60.00 beta=60.00 gamma=60.00
Atoms (fractional coordinates):
Fe 0.000 0.000 0.000
Tc 0.500 0.500 0.500
Tc 0.750 0.750 0.750
P 0.250 0.250 0.250


5.
A relaxed structure of FeTc2P, computed with PBE.

Values from the calculation:
Total moment = 0.29 μB/atom
DFT formation energy = 103 meV per atom
Theoretical density = 8.967 g/cm3

Unit cell a=2.862 b=3.714 c=4.927 alpha=90.00 beta=90.00 gamma=90.00
Atoms (fractional coordinates):
Fe 0.000 0.000 0.000
Tc 0.500 0.500 0.252
Tc 0.500 0.500 0.748
P 0.000 0.000 0.500


6.
A relaxed structure of FeTc2P, computed with PBE.

Values from the calculation:
Total moment = 0.42 μB/atom
DFT formation energy = -96 meV per atom
Theoretical density = 8.845 g/cm3

Unit cell a=4.994 b=4.994 c=4.994 alpha=145.99 beta=129.64 gamma=62.17
Atoms (fractional coordinates):
Fe 0.000 0.000 0.000
Tc 0.286 0.786 0.500
Tc 0.714 0.214 0.500
P 0.500 0.500 0.000


7.
A relaxed structure of FeTc2P, computed with PBE.

Values from the calculation:
Total moment = 0.49 μB/atom
DFT formation energy = 195 meV per atom
Theoretical density = 8.776 g/cm3

Unit cell a=2.716 b=2.716 c=7.913 alpha=90.00 beta=90.00 gamma=113.55
Atoms (fractional coordinates):
Fe 0.000 0.000 0.000
Tc 0.000 0.000 0.554
Tc 0.500 0.500 0.268
P 0.500 0.500 0.788


8.
A relaxed structure of FeTc2P, computed with PBE.

Values from the calculation:
Total moment = 0.00 μB/atom
DFT formation energy = 597 meV per atom
Theoretical density = 6.521 g/cm3

Unit cell a=6.341 b=6.341 c=6.341 alpha=130.51 beta=130.51 gamma=72.60
Atoms (fractional coordinates):
Fe 0.000 0.000 0.000
Fe 0.750 0.250 0.500
Tc 0.115 0.625 0.990
Tc 0.375 0.365 0.490
Tc 0.635 0.125 0.010
Tc 0.875 0.885 0.510
P 0.250 0.750 0.500
P 0.500 0.500 0.000